# 1
First-principles (GGA-PBE) data for an optimized crystal structure of KIr2Ru, as listed in Alexandria via LeMat-Bulk.

The structure in CIF format:
```
data_KIr2Ru
_chemical_formula_sum 'K1 Ir2 Ru1'
_symmetry_space_group_name_H-M 'P 1'
_symmetry_Int_Tables_number 1
_cell_length_a 2.753
_cell_length_b 2.753
_cell_length_c 10.291
_cell_angle_alpha 90.00
_cell_angle_beta 90.00
_cell_angle_gamma 119.19
loop_
_symmetry_equiv_pos_as_xyz
'x,y,z'
loop_
_atom_site_label
_atom_site_fract_x
_atom_site_fract_y
_atom_site_fract_z
K1 0.000 0.000 0.000
Ir1 0.000 0.000 0.501
Ir2 0.500 0.500 0.726
Ru1 0.500 0.500 0.285
```

Results
As for the calculated formation energy: 3.15 eV per formula unit. The electronic total energy is -24.9 eV for the cell shown.


# 2
First-principles (GGA-PBE) data for an optimized crystal structure of K2IrRu, as listed in Alexandria via LeMat-Bulk.

The structure in CIF format:
```
data_K2IrRu
_chemical_formula_sum 'K2 Ir1 Ru1'
_symmetry_space_group_name_H-M 'P 1'
_symmetry_Int_Tables_number 1
_cell_length_a 11.437
_cell_length_b 11.437
_cell_length_c 11.437
_cell_angle_alpha 14.22
_cell_angle_beta 14.22
_cell_angle_gamma 14.22
loop_
_symmetry_equiv_pos_as_xyz
'x,y,z'
loop_
_atom_site_label
_atom_site_fract_x
_atom_site_fract_y
_atom_site_fract_z
K1 0.249 0.249 0.249
K2 0.751 0.751 0.751
Ir1 0.500 0.500 0.500
Ru1 0.000 0.000 0.000
```

Results
As for the calculated formation energy: 4.17 eV per formula unit. The electronic total energy is -16.2 eV for the cell shown.


# 3
First-principles (GGA-PBE) data for an optimized crystal structure of KIr2Ru, as listed in Alexandria via LeMat-Bulk.

The structure in CIF format:
```
data_KIr2Ru
_chemical_formula_sum 'K1 Ir2 Ru1'
_symmetry_space_group_name_H-M 'P 1'
_symmetry_Int_Tables_number 1
_cell_length_a 2.714
_cell_length_b 4.242
_cell_length_c 7.316
_cell_angle_alpha 90.00
_cell_angle_beta 100.55
_cell_angle_gamma 90.00
loop_
_symmetry_equiv_pos_as_xyz
'x,y,z'
loop_
_atom_site_label
_atom_site_fract_x
_atom_site_fract_y
_atom_site_fract_z
K1 0.000 0.000 0.000
Ir1 0.316 0.500 0.655
Ir2 0.755 0.000 0.532
Ru1 0.661 0.500 0.339
```

Results
As for the calculated formation energy: 2.72 eV per formula unit. The electronic total energy is -25.4 eV for the cell shown.


# 4
First-principles (GGA-PBE) data for an optimized crystal structure of KIrRu3, as listed in Alexandria via LeMat-Bulk.

The structure in CIF format:
```
data_KIrRu3
_chemical_formula_sum 'K1 Ir1 Ru3'
_symmetry_space_group_name_H-M 'P 1'
_symmetry_Int_Tables_number 1
_cell_length_a 4.437
_cell_length_b 4.437
_cell_length_c 4.437
_cell_angle_alpha 90.00
_cell_angle_beta 90.00
_cell_angle_gamma 90.00
loop_
_symmetry_equiv_pos_as_xyz
'x,y,z'
loop_
_atom_site_label
_atom_site_fract_x
_atom_site_fract_y
_atom_site_fract_z
K1 0.000 0.000 0.000
Ir1 0.500 0.500 0.500
Ru1 0.000 0.000 0.500
Ru2 0.000 0.500 0.000
Ru3 0.500 0.000 0.000
```

Results
As for the calculated formation energy: 15.67 eV per formula unit. The electronic total energy is -22.1 eV for the cell shown.